# 1
{"formula": "Sm2SbH2", "functional": "GGA-PBE", "state": "optimized geometry", "cell": [[6.038, -0.249, -0.006], [-2.283, 5.595, -0.006], [-1.874, -2.667, 5.642]], "species": ["Sm", "Sm", "Sm", "Sm", "Sb", "Sb", "H", "H", "H", "H"], "fractional_positions": [[0.188, 0.312, 0.750], [0.438, 0.062, 0.250], [0.562, 0.938, 0.750], [0.812, 0.688, 0.250], [0.875, 0.625, 0.750], [0.125, 0.375, 0.250], [0.256, 0.006, 0.513], [0.506, 0.756, 0.013], [0.744, 0.994, 0.487], [0.494, 0.244, 0.987]], "dft_energy_ev_per_atom": -4.8191, "dos_ef_per_ev_atom": 0.38}



# 2
{"formula": "BeHgAu2", "functional": "GGA-PBE", "state": "optimized geometry", "cell": [[-0.956, -1.652, 4.632], [2.228, -4.432, 0.704], [1.728, 4.384, -1.702]], "species": ["Be", "Au", "Au", "Hg"], "fractional_positions": [[0.250, 0.750, 0.500], [0.000, 0.000, 0.000], [0.500, 0.500, 0.000], [0.750, 0.250, 0.500]], "relative_energy_mev_per_atom": 257, "dft_energy_ev_per_atom": -2.4198, "dos_ef_per_ev_atom": 0.27, "e_form_mev_per_atom": 225.9}



Copy entry 2 word for word.
{"formula": "BeHgAu2", "functional": "GGA-PBE", "state": "optimized geometry", "cell": [[-0.956, -1.652, 4.632], [2.228, -4.432, 0.704], [1.728, 4.384, -1.702]], "species": ["Be", "Au", "Au", "Hg"], "fractional_positions": [[0.250, 0.750, 0.500], [0.000, 0.000, 0.000], [0.500, 0.500, 0.000], [0.750, 0.250, 0.500]], "relative_energy_mev_per_atom": 257, "dft_energy_ev_per_atom": -2.4198, "dos_ef_per_ev_atom": 0.27, "e_form_mev_per_atom": 225.9}